The following is a DFT calculation (PBE) of crystalline Pr6P2Br3N at its relaxed geometry.

Structure (POSCAR):
```
Pr6P2Br3N
1.0
3.521 -6.098 0.000
3.521 6.098 0.000
-2.344 0.000 7.399
Pr P Br N
6 2 3 1
Direct
0.064 0.371 0.192
0.243 0.243 0.807
0.371 0.064 0.192
0.629 0.936 0.808
0.757 0.757 0.193
0.936 0.629 0.808
0.334 0.666 0.000
0.666 0.334 0.000
0.171 0.829 0.500
0.500 0.500 0.500
0.829 0.171 0.500
0.000 0.000 0.000
```

Values from the calculation:
* N(E_F): 5.12 states/eV/cell
* M_tot: 0.0 μB/f.u.
* E_form (uncorrected): -1.438 eV per atom

The following is a DFT calculation (PBE) of crystalline TaNbSnMo at its relaxed geometry.

Structure (POSCAR):
```
TaNbSnMo
1.0
6.624 0.000 0.000
0.000 6.624 0.000
0.000 0.000 6.624
Ta Nb Sn Mo
4 4 4 4
Direct
0.000 0.000 0.000
0.000 0.500 0.500
0.500 0.000 0.500
0.500 0.500 0.000
0.250 0.250 0.750
0.250 0.750 0.250
0.750 0.250 0.250
0.750 0.750 0.750
0.000 0.000 0.500
0.000 0.500 0.000
0.500 0.000 0.000
0.500 0.500 0.500
0.250 0.250 0.250
0.250 0.750 0.750
0.750 0.250 0.750
0.750 0.750 0.250
```

Values from the calculation:
* N(E_F): 18.96 states/eV/cell
* energy relative to the elements: 0.33 eV per formula unit
* M_tot: 0.0 μB/f.u.

The following is a DFT calculation (PBE) of crystalline MgOs2W at its relaxed geometry.

Structure (POSCAR):
```
MgOs2W
1.0
6.238 0.000 0.000
0.000 6.238 0.000
0.000 0.000 6.238
Mg Os W
4 8 4
Direct
0.000 0.000 0.000
0.000 0.500 0.500
0.500 0.000 0.500
0.500 0.500 0.000
0.000 0.000 0.500
0.000 0.500 0.000
0.250 0.250 0.250
0.250 0.750 0.750
0.500 0.000 0.000
0.500 0.500 0.500
0.750 0.250 0.750
0.750 0.750 0.250
0.250 0.250 0.750
0.250 0.750 0.250
0.750 0.250 0.250
0.750 0.750 0.750
```

Values from the calculation:
* N(E_F): 19.91 states/eV/cell
* energy relative to the elements: 1.87 eV per formula unit
* M_tot: 0.0 μB/f.u.

The following is a DFT calculation (PBE) of crystalline HPbBr3 at its relaxed geometry.

Structure (POSCAR):
```
HPbBr3
1.0
5.715 0.000 0.000
0.000 5.715 0.000
0.000 0.000 5.715
H Pb Br
1 1 3
Direct
0.000 0.000 0.000
0.500 0.500 0.500
0.000 0.500 0.500
0.500 0.000 0.500
0.500 0.500 0.000
```

Values from the calculation:
* N(E_F): 3.34 states/eV/cell
* energy above the most stable polymorph in this dataset: 3.50 eV per formula unit
* M_tot: 0.9 μB/f.u.

The following is a DFT calculation (PBE) of crystalline Tm2Al9Ir3 at its relaxed geometry.

Structure (POSCAR):
```
Tm2Al9Ir3
1.0
6.504 -3.791 0.000
6.504 3.791 0.000
0.000 0.000 9.430
Tm Al Ir
4 18 6
Direct
0.004 0.672 0.750
0.328 0.996 0.750
0.672 0.004 0.250
0.996 0.328 0.250
0.001 0.665 0.076
0.001 0.665 0.424
0.129 0.871 0.250
0.333 0.667 0.553
0.333 0.667 0.947
0.335 0.999 0.076
0.335 0.999 0.424
0.340 0.450 0.250
0.450 0.340 0.750
0.550 0.660 0.250
0.660 0.550 0.750
0.665 0.001 0.576
0.665 0.001 0.924
0.667 0.333 0.053
0.667 0.333 0.447
0.871 0.129 0.750
0.999 0.335 0.576
0.999 0.335 0.924
0.000 0.000 0.000
0.000 0.000 0.500
0.328 0.328 0.000
0.328 0.328 0.500
0.672 0.672 0.000
0.672 0.672 0.500
```

Values from the calculation:
* N(E_F): 11.90 states/eV/cell
* energy above the most stable polymorph in this dataset: 0.00 eV per formula unit
* energy relative to the elements: -11.91 eV per formula unit
* M_tot: 0.0 μB/f.u.

Question: What is the formula in the third record?
Answer: MgOs2W